Density functional theory data (PBE+U) for BaFe2OsO8 after structural relaxation.

Lattice parameters (Å, degrees): 4.685 4.682 7.204 90.00 90.00 88.52
Each line ends with the local moment (μB).
Positions (direct):
1 O 0.711 0.711 0.000  0.16
2 O 0.289 0.289 0.000  0.16
3 O 0.205 0.794 0.809  0.03
4 O 0.205 0.794 0.191  0.03
5 O 0.389 0.388 0.500  0.09
6 O 0.795 0.206 0.809  0.03
7 O 0.795 0.206 0.191  0.03
8 O 0.611 0.612 0.500  0.09
9 Fe 0.500 0.500 0.203  4.19
10 Fe 0.500 0.500 0.797  4.19
11 Os 0.000 0.000 0.000  -1.05
12 Ba 0.000 0.000 0.500  0.00

Computed properties:
- E_tot: -6.65 eV per atom
- Total moment: 8.0 μB/cell